Entry one
Below is an optimized crystal structure of SrP3C, with properties calculated at the PBE-GGA level.

The structure belongs to space group Pm-3m (No. 221); the cell edges are 5.4648, 5.4648 and 5.4648 Å and the angles 90.00°, 90.00° and 90.00°. The asymmetric unit holds Sr at (0.0000, 0.0000, 0.0000), P at (0.0000, 0.0000, 0.5000) and C at (0.5000, 0.5000, 0.5000).

The value obtained for the magnetic moment is 0.0 μB/cell.

=====

Entry two
Below is an optimized crystal structure of SrP3C, with properties calculated at the PBE-GGA level.

The structure belongs to space group Pm-3m (No. 221); the cell edges are 4.3875, 4.3875 and 4.3875 Å and the angles 90.00°, 90.00° and 90.00°. The asymmetric unit holds Sr at (0.0000, 0.0000, 0.0000), P at (0.0000, 0.5000, 0.5000) and C at (0.5000, 0.5000, 0.5000).

The value obtained for the magnetic moment is 0.0 μB/cell.

=====

On energetic grounds, entry two is preferred over the next structure by 2137 meV/atom.

=====

Entry one
Below is an optimized crystal structure of SrPC3, with properties calculated at the PBE-GGA level.

The structure belongs to space group Pm-3m (No. 221); the cell edges are 3.8410, 3.8410 and 3.8410 Å and the angles 90.00°, 90.00° and 90.00°. The asymmetric unit holds Sr at (0.0000, 0.0000, 0.0000), P at (0.5000, 0.5000, 0.5000) and C at (0.0000, 0.5000, 0.5000).

The value obtained for the magnetic moment is 0.0 μB/cell.

=====

Entry two
Below is an optimized crystal structure of SrPC3, with properties calculated at the PBE-GGA level.

The structure belongs to space group Pm-3m (No. 221); the cell edges are 4.6742, 4.6742 and 4.6742 Å and the angles 90.00°, 90.00° and 90.00°. The asymmetric unit holds Sr at (0.0000, 0.0000, 0.0000), P at (0.5000, 0.5000, 0.5000) and C at (0.0000, 0.0000, 0.5000).

The value obtained for the magnetic moment is 1.6 μB/cell.

=====

On energetic grounds, entry one is preferred over the next structure by 2360 meV/atom.

=====

Entry one
Below is an optimized crystal structure of Ta2PC2, with properties calculated at the PBE-GGA level.

The structure belongs to space group P4/mbm (No. 127); the cell edges are 6.1504, 6.1504 and 3.0269 Å and the angles 90.00°, 90.00° and 90.00°. The asymmetric unit holds Ta at (0.1624, 0.3376, 0.0000), P at (0.0000, 0.0000, 0.5000) and C at (0.1360, 0.6360, 0.5000).

The value obtained for the magnetic moment is 0.0 μB/cell.

=====

Entry two
Below is an optimized crystal structure of Ta2PC2, with properties calculated at the PBE-GGA level.

The structure belongs to space group I4/mmm (No. 139); the cell edges are 4.2036, 4.2036 and 6.7788 Å and the angles 90.00°, 90.00° and 90.00°. The asymmetric unit holds Ta at (0.0000, 0.5000, 0.2500), P at (0.0000, 0.0000, 0.0000) and C at (0.0000, 0.0000, 0.3894).

The value obtained for the magnetic moment is 0.0 μB/cell.

=====

On energetic grounds, entry two is preferred over the next structure by 382 meV/atom.

=====

Entry one
Below is an optimized crystal structure of Tc2PC, with properties calculated at the PBE-GGA level.

The structure belongs to space group Fm-3m (No. 225); the cell edges are 5.6673, 5.6673 and 5.6673 Å and the angles 90.00°, 90.00° and 90.00°. The asymmetric unit holds Tc at (0.2500, 0.2500, 0.2500), P at (0.0000, 0.0000, 0.0000) and C at (0.0000, 0.0000, 0.5000).

The value obtained for the magnetic moment is 0.0 μB/cell.

=====

Entry two
Below is an optimized crystal structure of Tc2PC, with properties calculated at the PBE-GGA level.

The structure belongs to space group I-42d (No. 122); the cell edges are 5.0198, 5.0198 and 9.5640 Å and the angles 90.00°, 90.00° and 90.00°. The asymmetric unit holds Tc at (0.1992, 0.2500, 0.1250), P at (0.0000, 0.0000, 0.5000) and C at (0.0000, 0.0000, 0.0000).

The value obtained for the magnetic moment is 4.0 μB/cell.

=====

On energetic grounds, entry two is preferred over the next structure by 148 meV/atom.

=====

Entry one
Below is an optimized crystal structure of TcP3C, with properties calculated at the PBE-GGA level.

The structure belongs to space group Pm-3m (No. 221); the cell edges are 3.9377, 3.9377 and 3.9377 Å and the angles 90.00°, 90.00° and 90.00°. The asymmetric unit holds Tc at (0.0000, 0.0000, 0.0000), P at (0.0000, 0.5000, 0.5000) and C at (0.5000, 0.5000, 0.5000).

The value obtained for the magnetic moment is 0.0 μB/cell.

=====

Entry two
Below is an optimized crystal structure of TcP3C, with properties calculated at the PBE-GGA level.

The structure belongs to space group Pm-3m (No. 221); the cell edges are 4.5735, 4.5735 and 4.5735 Å and the angles 90.00°, 90.00° and 90.00°. The asymmetric unit holds Tc at (0.0000, 0.0000, 0.0000), P at (0.0000, 0.0000, 0.5000) and C at (0.5000, 0.5000, 0.5000).

The value obtained for the magnetic moment is 1.1 μB/cell.

=====

On energetic grounds, entry one is preferred over the next structure by 725 meV/atom.

=====

Entry one
Below is an optimized crystal structure of TcPC3, with properties calculated at the PBE-GGA level.

The structure belongs to space group Pm-3m (No. 221); the cell edges are 4.0283, 4.0283 and 4.0283 Å and the angles 90.00°, 90.00° and 90.00°. The asymmetric unit holds Tc at (0.0000, 0.0000, 0.0000), P at (0.5000, 0.5000, 0.5000) and C at (0.0000, 0.0000, 0.5000).

The value obtained for the magnetic moment is 0.0 μB/cell.

=====

Entry two
Below is an optimized crystal structure of TcPC3, with properties calculated at the PBE-GGA level.

The structure belongs to space group Pm-3m (No. 221); the cell edges are 3.6102, 3.6102 and 3.6102 Å and the angles 90.00°, 90.00° and 90.00°. The asymmetric unit holds Tc at (0.0000, 0.0000, 0.0000), P at (0.5000, 0.5000, 0.5000) and C at (0.0000, 0.5000, 0.5000).

The value obtained for the magnetic moment is 0.0 μB/cell.

=====

On energetic grounds, entry two is preferred over the next structure by 265 meV/atom.

=====

Entry one
Below is an optimized crystal structure of TePC2, with properties calculated at the PBE-GGA level.

The structure belongs to space group Fm-3m (No. 225); the cell edges are 5.8457, 5.8457 and 5.8457 Å and the angles 90.00°, 90.00° and 90.00°. The asymmetric unit holds Te at (0.0000, 0.0000, 0.0000), P at (0.0000, 0.0000, 0.5000) and C at (0.2500, 0.2500, 0.2500).

The value obtained for the magnetic moment is 0.0 μB/cell.

=====

Entry two
Below is an optimized crystal structure of TePC2, with properties calculated at the PBE-GGA level.

The structure belongs to space group I-42d (No. 122); the cell edges are 5.1882, 5.1882 and 8.0581 Å and the angles 90.00°, 90.00° and 90.00°. The asymmetric unit holds Te at (0.0000, 0.0000, 0.0000), P at (0.0000, 0.0000, 0.5000) and C at (0.1357, 0.2500, 0.6250).

The value obtained for the magnetic moment is 0.0 μB/cell.

=====

On energetic grounds, entry two is preferred over the next structure by 1320 meV/atom.

=====

Entry one
Below is an optimized crystal structure of Ti4PC2, with properties calculated at the PBE-GGA level.

The structure belongs to space group Cmcm (No. 63); the cell edges are 3.1972, 10.2189 and 10.6979 Å and the angles 90.00°, 90.00° and 90.00°. The asymmetric unit holds Ti at (0.0000, 0.0000, 0.0000), Ti at (0.0000, 0.2647, 0.1091), Ti at (0.0000, 0.4304, 0.7500), P at (0.0000, 0.1088, 0.7500) and C at (0.0000, 0.3649, 0.5624).

The value obtained for the magnetic moment is 0.0 μB/cell.

=====

Entry two
Below is an optimized crystal structure of Ti4PC2, with properties calculated at the PBE-GGA level.

The structure belongs to space group I4/mmm (No. 139); the cell edges are 4.5619, 4.5619 and 10.1514 Å and the angles 90.00°, 90.00° and 90.00°. The asymmetric unit holds Ti at (0.0000, 0.0000, 0.2412), Ti at (0.0000, 0.5000, 0.0000), P at (0.0000, 0.0000, 0.0000) and C at (0.0000, 0.0000, 0.4329).

The value obtained for the magnetic moment is 0.2 μB/cell.

=====

On energetic grounds, entry one is preferred over the next structure by 781 meV/atom.